Below is an optimized crystal structure of U5Sn, with properties calculated at the PBE-GGA level.

Cell lengths 5.146, 12.744, 3.921 Å; angles 90.00, 90.00, 90.00 degrees
Space group Cmmm (No. 65)
Asymmetric unit:
U  0.000  0.000  0.000
U  0.000  0.168  0.500
U  0.000  0.307  0.000
Sn  0.000  0.500  0.500

Calculated values
**Formation enthalpy at 0 K**: 13 kJ per mole of atoms
**N(E_F)**: 2.6386 states/eV per atom



Below is an optimized crystal structure of KScAgBr6, with properties calculated at the PBE-GGA level.

Cell lengths 6.972, 6.977, 7.221 Å; angles 92.50, 92.62, 115.15 degrees
Space group P1 (No. 1)
Asymmetric unit:
K  0.000  0.000  0.000
Sc  0.335  0.665  0.501
Ag  0.680  0.320  0.501
Br  0.035  0.363  0.689
Br  0.038  0.634  0.261
Br  0.369  0.962  0.744
Br  0.399  0.377  0.276
Br  0.623  0.599  0.727
Br  0.638  0.966  0.314

Calculated values
**Uncorrected formation energy**: -1.204 eV/atom
**N(E_F)**: 0.4080 states/eV per atom



Below is an optimized crystal structure of EuDyPu, with properties calculated at the PBE-GGA level.

Cell lengths 3.528, 3.528, 15.483 Å; angles 90.00, 90.00, 90.00 degrees
Space group I4mm (No. 107)
Asymmetric unit:
Eu  0.000  0.000  0.000
Dy  0.000  0.000  0.326
Pu  0.000  0.000  0.674

Calculated values
**Formation enthalpy at 0 K**: 19 kJ per mole of atoms
**N(E_F)**: 3.2916 states/eV per atom



Below is an optimized crystal structure of FePt2Br, with properties calculated at the PBE-GGA level.

Cell lengths 2.920, 4.757, 4.790 Å; angles 90.00, 90.00, 90.00 degrees
Space group Pmmm (No. 47)
Asymmetric unit:
Fe  0.000  0.000  0.000
Pt  0.000  0.500  0.500
Pt  0.500  0.500  0.000
Br  0.500  0.000  0.500

Calculated values
**Uncorrected formation energy**: 0.485 eV/atom
**N(E_F)**: 0.9273 states/eV per atom
**Offset from the most stable computed form**: 311 meV per atom



Below is an optimized crystal structure of Ba2NiGeBi, with properties calculated at the PBE-GGA level.

Cell lengths 5.952, 5.952, 4.885 Å; angles 90.00, 90.00, 90.00 degrees
Space group P4/mmm (No. 123)
Asymmetric unit:
Ba  0.000  0.500  0.000
Ni  0.000  0.000  0.000
Ge  0.500  0.500  0.500
Bi  0.000  0.000  0.500

Calculated values
**Formation enthalpy at 0 K**: -16 kJ per mole of atoms
**N(E_F)**: 1.0187 states/eV per atom



Below is an optimized crystal structure of Na5B7C3, with properties calculated at the PBE-GGA level.

Cell lengths 17.857, 2.840, 13.370 Å; angles 90.00, 113.32, 90.00 degrees
Space group Cm (No. 8)
Asymmetric unit:
Na  0.000  0.000  0.000
Na  0.000  0.000  0.499
Na  0.098  0.500  0.200
Na  0.100  0.500  0.699
Na  0.199  0.000  0.399
Na  0.201  0.000  0.898
Na  0.299  0.500  0.599
Na  0.301  0.500  0.099
Na  0.398  0.000  0.800
Na  0.401  0.000  0.300
B  0.030  0.000  0.809
B  0.066  0.500  0.382
B  0.068  0.500  0.885
B  0.134  0.500  0.019
B  0.162  0.000  0.576
B  0.225  0.000  0.200
B  0.260  0.500  0.770
B  0.266  0.500  0.283
B  0.331  0.500  0.412
B  0.332  0.500  0.915
B  0.371  0.000  0.493
B  0.373  0.000  0.996
B  0.438  0.000  0.626
B  0.469  0.500  0.188
C  0.034  0.000  0.318
C  0.130  0.500  0.512
C  0.165  0.000  0.081
C  0.229  0.000  0.706
C  0.437  0.000  0.123
C  0.468  0.500  0.685

Calculated values
**Formation enthalpy at 0 K**: 13 kJ per mole of atoms
**N(E_F)**: 0.2642 states/eV per atom
**Offset from the most stable computed form**: 17 meV per atom



Below is an optimized crystal structure of TaCu2AgS4, with properties calculated at the PBE-GGA level.

Cell lengths 5.566, 5.566, 10.627 Å; angles 90.00, 90.00, 90.00 degrees
Space group I-42m (No. 121)
Asymmetric unit:
Ta  0.000  0.000  0.000
Cu  0.000  0.500  0.250
Ag  0.000  0.000  0.500
S  0.232  0.232  0.866

Calculated values
**Uncorrected formation energy**: -0.496 eV/atom



Below is an optimized crystal structure of NbAs2Au, with properties calculated at the PBE-GGA level.

Cell lengths 6.593, 6.593, 6.593 Å; angles 90.00, 90.00, 90.00 degrees
Space group Fm-3m (No. 225)
Asymmetric unit:
Nb  0.000  0.000  0.000
As  0.250  0.250  0.250
Au  0.000  0.000  0.500

Calculated values
**Formation enthalpy at 0 K**: 16 kJ per mole of atoms
**N(E_F)**: 1.1247 states/eV per atom



Below is an optimized crystal structure of Na2CdH, with properties calculated at the PBE-GGA level.

Cell lengths 3.3436, 3.3436, 24.9575 Å; angles 90.00, 90.00, 120.00 degrees
Space group R-3m (No. 166, hexagonal axes)
Asymmetric unit:
Na  0.0000  0.0000  0.2242
Cd  0.0000  0.0000  0.0000
H  0.0000  0.0000  0.5000

Calculated values
**N(E_F)**: 0.2341 states/eV per atom
**Offset from the most stable computed form**: 0 meV per atom



Below is an optimized crystal structure of Pm2YTh2, with properties calculated at the PBE-GGA level.

Cell lengths 3.603, 3.603, 25.593 Å; angles 90.00, 90.00, 90.00 degrees
Space group I4/mmm (No. 139)
Asymmetric unit:
Pm  0.000  0.000  0.103
Y  0.000  0.000  0.500
Th  0.000  0.000  0.297

Calculated values
**Formation enthalpy at 0 K**: 3 kJ per mole of atoms
**N(E_F)**: 1.5751 states/eV per atom
**Offset from the most stable computed form**: 0 meV per atom



Below is an optimized crystal structure of SiNi2W, with properties calculated at the PBE-GGA level.

Cell lengths 9.047, 2.690, 4.395 Å; angles 90.00, 109.98, 90.00 degrees
Space group Cm (No. 8)
Asymmetric unit:
Si  0.000  0.000  0.000
Ni  0.211  0.500  0.279
Ni  0.471  0.000  0.471
W  0.245  0.000  0.794

Calculated values
**Uncorrected formation energy**: -0.138 eV/atom
**N(E_F)**: 0.7536 states/eV per atom



Below is an optimized crystal structure of ScWBr, with properties calculated at the PBE-GGA level.

Cell lengths 3.1715, 3.1715, 7.6906 Å; angles 90.00, 90.00, 120.00 degrees
Space group P3m1 (No. 156)
Asymmetric unit:
Sc  0.0000  0.0000  0.0000
W  0.6667  0.3333  0.2838
Br  0.3333  0.6667  0.7460

Calculated values
**Uncorrected formation energy**: 0.232 eV/atom
**N(E_F)**: 0.8546 states/eV per atom
**Offset from the most stable computed form**: 0 meV per atom



Below is an optimized crystal structure of SrLiHgSe2, with properties calculated at the PBE-GGA level.

Cell lengths 7.922, 4.630, 8.343 Å; angles 90.00, 113.69, 90.00 degrees
Space group P2/c (No. 13)
Asymmetric unit:
Sr  0.000  0.159  0.250
Li  0.500  0.499  0.750
Hg  0.500  0.000  0.000
Se  0.202  0.342  0.012

Calculated values
**Uncorrected formation energy**: -1.018 eV/atom
**N(E_F)**: 0.1772 states/eV per atom



Below is an optimized crystal structure of LiMnInB2, with properties calculated at the PBE-GGA level.

Cell lengths 3.939, 3.939, 4.635 Å; angles 90.00, 90.00, 90.00 degrees
Space group P4/mmm (No. 123)
Asymmetric unit:
Li  0.000  0.000  0.000
Mn  0.000  0.000  0.500
In  0.500  0.500  0.000
B  0.000  0.500  0.500

Calculated values
**Formation enthalpy at 0 K**: 80 kJ per mole of atoms
**N(E_F)**: 0.5408 states/eV per atom



Below is an optimized crystal structure of SrTeBr3, with properties calculated at the PBE-GGA level.

Cell lengths 5.974, 5.974, 5.974 Å; angles 90.00, 90.00, 90.00 degrees
Space group Pm-3m (No. 221)
Asymmetric unit:
Sr  0.000  0.000  0.000
Te  0.500  0.500  0.500
Br  0.000  0.000  0.500

Calculated values
**Uncorrected formation energy**: -0.843 eV/atom
**N(E_F)**: 0.0000 states/eV per atom
**Offset from the most stable computed form**: 0 meV per atom



Below is an optimized crystal structure of In3Re, with properties calculated at the PBE-GGA level.

Cell lengths 4.164, 4.164, 18.938 Å; angles 90.00, 90.00, 90.00 degrees
Space group I4/mmm (No. 139)
Asymmetric unit:
In  0.000  0.000  0.123
In  0.000  0.500  0.000
In  0.000  0.500  0.250
Re  0.000  0.000  0.363

Calculated values
**Formation enthalpy at 0 K**: 61 kJ per mole of atoms
**N(E_F)**: 0.5045 states/eV per atom
**Offset from the most stable computed form**: 343 meV per atom



Below is an optimized crystal structure of B2C, with properties calculated at the PBE-GGA level.

Cell lengths 13.597, 2.682, 5.711 Å; angles 90.00, 92.90, 90.00 degrees
Space group Cm (No. 8)
Asymmetric unit:
B  0.000  0.000  0.000
B  0.013  0.500  0.470
B  0.160  0.500  0.087
B  0.181  0.000  0.343
B  0.254  0.000  0.088
B  0.337  0.000  0.881
B  0.349  0.500  0.437
B  0.410  0.500  0.776
C  0.045  0.500  0.083
C  0.113  0.500  0.339
C  0.295  0.000  0.373
C  0.462  0.500  0.526

Calculated values
**Formation enthalpy at 0 K**: 31 kJ per mole of atoms
**N(E_F)**: 0.0688 states/eV per atom
**Offset from the most stable computed form**: 135 meV per atom



Below is an optimized crystal structure of Na2CdMo2, with properties calculated at the PBE-GGA level.

Cell lengths 9.106, 9.106, 2.858 Å; angles 90.00, 90.00, 90.00 degrees
Space group P4/mbm (No. 127)
Asymmetric unit:
Na  0.203  0.297  0.000
Cd  0.000  0.000  0.000
Mo  0.083  0.583  0.500

Calculated values
**Formation enthalpy at 0 K**: 91 kJ per mole of atoms
**N(E_F)**: 0.7668 states/eV per atom
**Offset from the most stable computed form**: 277 meV per atom



Below is an optimized crystal structure of PmPuN2, with properties calculated at the PBE-GGA level.

Cell lengths 3.4985, 3.4985, 17.8980 Å; angles 90.00, 90.00, 120.00 degrees
Space group R3m (No. 160, hexagonal axes)
Asymmetric unit:
Pm  0.0000  0.0000  0.0000
Pu  0.0000  0.0000  0.1724
N  0.0000  0.0000  0.5826
N  0.0000  0.0000  0.7659

Calculated values
**Uncorrected formation energy**: -1.163 eV/atom
**N(E_F)**: 1.6189 states/eV per atom
**Offset from the most stable computed form**: 199 meV per atom



Below is an optimized crystal structure of CaAl3Ag3, with properties calculated at the PBE-GGA level.

Cell lengths 8.1264, 8.1264, 15.7334 Å; angles 90.00, 90.00, 120.00 degrees
Space group R-3 (No. 148, hexagonal axes)
Asymmetric unit:
Ca  0.0000  0.0000  0.1771
Al  0.0071  0.3495  0.2913
Ag  0.0040  0.7154  0.5507

Calculated values
**Formation enthalpy at 0 K**: -9 kJ per mole of atoms
**N(E_F)**: 0.2115 states/eV per atom
**Offset from the most stable computed form**: 94 meV per atom